(1)
Compound: Pr2Cd4Ag5
Source: Alexandria
Functional: PBE-GGA
Structure: optimized geometry

Cell lengths 7.2931, 7.2931, 7.2931 Å; angles 133.03, 99.19, 99.09 degrees
Fractional coordinates of all 11 atoms:
Pr 0.2234 0.0000 0.2234
Pr 0.7766 0.0000 0.7766
Cd 0.0840 0.3366 0.7474
Cd 0.4108 0.6634 0.7474
Cd 0.5892 0.3366 0.2526
Cd 0.9160 0.6634 0.2526
Ag 0.0000 0.5000 0.5000
Ag 0.2881 0.0334 0.7453
Ag 0.2881 0.5428 0.2547
Ag 0.7119 0.4572 0.7453
Ag 0.7119 0.9666 0.2547

Calculated values
**Energy of formation from the pure elements**: -0.1174 eV/atom
**Space-group type**: No. 71
**E_tot**: -2.615 eV/atom



(2)
Compound: AcInBiIr
Source: Alexandria
Functional: PBE-GGA
Structure: optimized geometry

Cell lengths 7.4900, 7.4900, 7.4900 Å; angles 90.00, 90.00, 90.00 degrees
Fractional coordinates of all 16 atoms:
Ac 0.0000 0.0000 0.0000
Ac 0.0000 0.5000 0.5000
Ac 0.5000 0.0000 0.5000
Ac 0.5000 0.5000 0.0000
In 0.2500 0.2500 0.7500
In 0.2500 0.7500 0.2500
In 0.7500 0.2500 0.2500
In 0.7500 0.7500 0.7500
Bi 0.0000 0.0000 0.5000
Bi 0.0000 0.5000 0.0000
Bi 0.5000 0.0000 0.0000
Bi 0.5000 0.5000 0.5000
Ir 0.2500 0.2500 0.2500
Ir 0.2500 0.7500 0.7500
Ir 0.7500 0.2500 0.7500
Ir 0.7500 0.7500 0.2500

Calculated values
**Energy of formation from the pure elements**: -0.1289 eV/atom
**Space-group type**: No. 216
**E_tot**: -5.026 eV/atom